Entry 1:
The following is a PBE-GGA calculation of an optimized crystal structure of CdAsPt2, from the Alexandria database.

Size of the total moment = 0.00 μB/atom
VASP energy = -4.7421 eV/atom
DFT formation energy = -330.5 meV/atom
SG = P2_1/c

Unit cell a=8.107 b=6.822 c=5.534 alpha=90.00 beta=90.00 gamma=90.00
Sites, in units of the cell vectors:
Cd1 0.105 0.107 0.249
Cd2 0.105 0.393 0.749
Cd3 0.895 0.607 0.251
Cd4 0.895 0.893 0.751
As1 0.379 0.566 0.251
As2 0.379 0.934 0.751
As3 0.621 0.066 0.249
As4 0.621 0.434 0.749
Pt1 0.174 0.750 0.000
Pt2 0.174 0.750 0.500
Pt3 0.394 0.249 0.500
Pt4 0.394 0.251 0.000
Pt5 0.606 0.749 0.000
Pt6 0.606 0.751 0.500
Pt7 0.826 0.250 0.000
Pt8 0.826 0.250 0.500

=====

Entry 2:
The following is a PBE-GGA calculation of an optimized crystal structure of CdAsPt, from the Alexandria database.

Size of the total moment = 0.00 μB/atom
VASP energy = -4.0228 eV/atom
DFT formation energy = -154.3 meV/atom
SG = P3m1

Unit cell a=3.382 b=3.382 c=6.105 alpha=90.00 beta=90.00 gamma=120.00
Sites, in units of the cell vectors:
Cd1 0.000 0.000 0.000
As1 0.333 0.667 0.598
Pt1 0.667 0.333 0.348

=====

DFT formation energy of number 1 (CdAsPt2)?
-330.5 meV/atom